Computed, not measured: a geometry-optimized Te2Mo structure at the GGA-PBE level of DFT.

Its crystal system is orthorhombic. As for the uncorrected formation energy: -0.264 eV/atom. The total magnetic moment is 0.00 Bohr magnetons per cell. The density of states at the Fermi level comes out at 0.2005 states/eV/atom. The calculation puts the total energy at -5.9690 eV/atom.

The structure belongs to space group Pmn2_1 (No. 31); the cell edges are 3.461, 6.385 and 15.140 Å and the angles 90.00°, 90.00° and 90.00°. The distinct sites, in fractional coordinates, are Te at (0.000, 0.144, 0.000), Te at (0.000, 0.347, 0.461), Te at (0.000, 0.700, 0.226), Te at (0.000, 0.792, 0.765), Mo at (0.000, 0.404, 0.857) and Mo at (0.000, 0.959, 0.369).



Computed, not measured: a geometry-optimized Te2Mo structure at the GGA-PBE level of DFT.

Its crystal system is orthorhombic. As for the uncorrected formation energy: 0.174 eV/atom. The total magnetic moment is 0.00 Bohr magnetons per cell. The density of states at the Fermi level comes out at 0.4758 states/eV/atom. The calculation puts the total energy at -5.5304 eV/atom.

The structure belongs to space group Pnma (No. 62); the cell edges are 7.731, 3.695 and 9.785 Å and the angles 90.00°, 90.00° and 90.00°. The distinct sites, in fractional coordinates, are Te at (0.009, 0.250, 0.135), Te at (0.126, 0.250, 0.605) and Mo at (0.249, 0.750, 0.413).



Computed, not measured: a geometry-optimized Te4Mo structure at the GGA-PBE level of DFT.

Its crystal system is cubic. As for the uncorrected formation energy: 0.450 eV/atom. The total magnetic moment is 4.84 Bohr magnetons per cell. As for the energy above the most stable polymorph in this dataset: 45 meV per atom. The density of states at the Fermi level comes out at 0.8257 states/eV/atom. The calculation puts the total energy at -4.2293 eV/atom.

The structure belongs to space group Im-3m (No. 229); the cell edges are 6.713, 6.713 and 6.713 Å and the angles 90.00°, 90.00° and 90.00°. The distinct sites, in fractional coordinates, are Te at (0.250, 0.250, 0.250) and Mo at (0.000, 0.000, 0.000).



Computed, not measured: a geometry-optimized TeMo structure at the GGA-PBE level of DFT.

Its crystal system is orthorhombic. As for the uncorrected formation energy: 0.206 eV/atom. The total magnetic moment is 0.00 Bohr magnetons per cell. As for the energy above the most stable polymorph in this dataset: 221 meV per atom. The density of states at the Fermi level comes out at 0.5262 states/eV/atom. The calculation puts the total energy at -6.7802 eV/atom.

The structure belongs to space group Pmmn (No. 59, origin choice 2); the cell edges are 3.359, 4.844 and 4.909 Å and the angles 90.00°, 90.00° and 90.00°. The distinct sites, in fractional coordinates, are Te at (0.250, 0.250, 0.151) and Mo at (0.250, 0.750, 0.410).



Computed, not measured: a geometry-optimized Te5Mo3 structure at the GGA-PBE level of DFT.

Its crystal system is triclinic. As for the uncorrected formation energy: 0.146 eV/atom. The total magnetic moment is 1.24 Bohr magnetons per cell. The density of states at the Fermi level comes out at 0.5473 states/eV/atom. The calculation puts the total energy at -5.8792 eV/atom.

The structure belongs to space group P-1 (No. 2); the cell edges are 6.656, 7.145 and 8.156 Å and the angles 90.58°, 93.98° and 90.76°. The distinct sites, in fractional coordinates, are Te at (0.039, 0.158, 0.139), Te at (0.060, 0.628, 0.238), Te at (0.253, 0.992, 0.542), Te at (0.345, 0.549, 0.669), Te at (0.453, 0.795, 0.052), Mo at (0.048, 0.318, 0.447), Mo at (0.256, 0.446, 0.995) and Mo at (0.414, 0.133, 0.257).



Computed, not measured: a geometry-optimized Te2Mo3 structure at the GGA-PBE level of DFT.

Its crystal system is orthorhombic. As for the uncorrected formation energy: 0.418 eV/atom. The total magnetic moment is 0.00 Bohr magnetons per cell. As for the energy above the most stable polymorph in this dataset: 50 meV per atom. The density of states at the Fermi level comes out at 0.5923 states/eV/atom. The calculation puts the total energy at -7.3370 eV/atom.

The structure belongs to space group Fdd2 (No. 43); the cell edges are 11.683, 13.219 and 5.357 Å and the angles 90.00°, 90.00° and 90.00°. The distinct sites, in fractional coordinates, are Te at (0.080, 0.202, 0.000), Mo at (0.000, 0.000, 0.098) and Mo at (0.020, 0.101, 0.471).



Computed, not measured: a geometry-optimized TeMo4 structure at the GGA-PBE level of DFT.

Its crystal system is cubic. As for the uncorrected formation energy: 2.176 eV/atom. The total magnetic moment is 0.16 Bohr magnetons per cell. As for the energy above the most stable polymorph in this dataset: 1809 meV per atom. The density of states at the Fermi level comes out at 1.5804 states/eV/atom. The calculation puts the total energy at -7.1167 eV/atom.

The structure belongs to space group Pm-3m (No. 221); the cell edges are 4.809, 4.809 and 4.809 Å and the angles 90.00°, 90.00° and 90.00°. The distinct sites, in fractional coordinates, are Te at (0.000, 0.000, 0.000), Mo at (0.000, 0.000, 0.500) and Mo at (0.500, 0.500, 0.500).



Computed, not measured: a geometry-optimized TeMo structure at the GGA-PBE level of DFT.

Its crystal system is monoclinic. As for the uncorrected formation energy: 0.232 eV/atom. The total magnetic moment is 0.00 Bohr magnetons per cell. As for the energy above the most stable polymorph in this dataset: 247 meV per atom. The density of states at the Fermi level comes out at 0.6873 states/eV/atom. The calculation puts the total energy at -6.7541 eV/atom.

The structure belongs to space group Cm (No. 8); the cell edges are 11.259, 3.371 and 6.991 Å and the angles 90.00°, 95.06° and 90.00°. The distinct sites, in fractional coordinates, are Te at (0.000, 0.000, 0.000), Te at (0.049, 0.000, 0.515), Te at (0.281, 0.500, 0.387), Mo at (0.204, 0.500, 0.768), Mo at (0.271, 0.000, 0.023) and Mo at (0.410, 0.000, 0.718).



Computed, not measured: a geometry-optimized Te5Mo structure at the GGA-PBE level of DFT.

Its crystal system is hexagonal. As for the uncorrected formation energy: 0.880 eV/atom. The total magnetic moment is 2.12 Bohr magnetons per cell. As for the energy above the most stable polymorph in this dataset: 876 meV per atom. The density of states at the Fermi level comes out at 0.8407 states/eV/atom. The calculation puts the total energy at -3.5434 eV/atom.

The structure belongs to space group P6/mmm (No. 191); the cell edges are 5.7011, 5.7011 and 8.0345 Å and the angles 90.00°, 90.00° and 120.00°. The distinct sites, in fractional coordinates, are Te at (0.0000, 0.5000, 0.0000), Te at (0.3333, 0.6667, 0.5000) and Mo at (0.0000, 0.0000, 0.5000).



Computed, not measured: a geometry-optimized Te4Mo structure at the GGA-PBE level of DFT.

Its crystal system is tetragonal. As for the uncorrected formation energy: 0.579 eV/atom. The total magnetic moment is 6.37 Bohr magnetons per cell. As for the energy above the most stable polymorph in this dataset: 174 meV per atom. The density of states at the Fermi level comes out at 0.5693 states/eV/atom. The calculation puts the total energy at -4.1005 eV/atom.

The structure belongs to space group I4/mmm (No. 139); the cell edges are 4.077, 4.077 and 19.164 Å and the angles 90.00°, 90.00° and 90.00°. The distinct sites, in fractional coordinates, are Te at (0.000, 0.000, 0.073), Te at (0.000, 0.500, 0.250) and Mo at (0.000, 0.000, 0.500).



Computed, not measured: a geometry-optimized Te2Mo structure at the GGA-PBE level of DFT.

Its crystal system is cubic. As for the uncorrected formation energy: 1.573 eV/atom. The total magnetic moment is 39.39 Bohr magnetons per cell. The density of states at the Fermi level comes out at 0.6470 states/eV/atom. The calculation puts the total energy at -4.1321 eV/atom.

The structure belongs to space group Fd-3m (No. 227, origin choice 2); the cell edges are 8.944, 8.944 and 8.944 Å and the angles 90.00°, 90.00° and 90.00°. The distinct sites, in fractional coordinates, are Te at (0.000, 0.000, 0.000) and Mo at (0.125, 0.125, 0.625).



Computed, not measured: a geometry-optimized Th6Te5Mo structure at the GGA-PBE level of DFT.

Its crystal system is monoclinic. As for the uncorrected formation energy: -0.846 eV/atom. The total magnetic moment is 0.00 Bohr magnetons per cell. The density of states at the Fermi level comes out at 0.7442 states/eV/atom. The calculation puts the total energy at -6.7672 eV/atom.

The structure belongs to space group C2/m (No. 12); the cell edges are 7.883, 13.378 and 7.635 Å and the angles 90.00°, 109.52° and 90.00°. The distinct sites, in fractional coordinates, are Th at (0.215, 0.000, 0.251), Th at (0.221, 0.149, 0.723), Te at (0.000, 0.187, 0.000), Te at (0.000, 0.339, 0.500), Te at (0.000, 0.500, 0.000) and Mo at (0.000, 0.000, 0.500).



Q: What is the formula in the third record?
A: Te4Mo



Q: Look up the total magnetic moment of the eighth one.
A: 0.00 Bohr magnetons per cell



Q: Which value of total magnetic moment does entry 5 give?
A: 1.24 Bohr magnetons per cell